w:
VASP calculation (PBE) on a relaxed CeTmSe crystal.

Cell: 3.8328 3.8328 6.7143 Å, 90.00 90.00 120.00°
Each line ends with the local moment (μB).
Positions (direct):
Tm: 0.3333 0.6667 0.6079  0.26
Se: 0.6667 0.3333 0.3430  0.00
Ce: 0.0000 0.0000 0.0491  1.00

## Properties
space group	No. 156

x:
VASP calculation (PBE) on a relaxed CeTmSe crystal.

Cell: 3.5791 3.5791 6.7013 Å, 105.49 105.49 90.00°
Each line ends with the local moment (μB).
Positions (direct):
Tm: 0.6942 0.6942 0.3883  0.22
Ce: 0.9785 0.9785 0.9570  0.96
Se: 0.3273 0.3273 0.6547  -0.01

## Properties
space group	No. 107

Energy ordering: w at the bottom, the next structure 0.108 eV/atom above.

w:
VASP calculation (PBE) on a relaxed CeTmSe2 crystal.

Cell: 4.0627 4.0627 7.2629 Å, 73.76 73.76 60.00°
Each line ends with the local moment (μB).
Positions (direct):
Tm: 0.0000 0.0000 0.0000  -0.01
Se: 0.2559 0.2559 0.2322  -0.01
Se: 0.7441 0.7441 0.7678  -0.01
Ce: 0.5000 0.5000 0.5000  0.87

## Properties
space group	No. 166

x:
VASP calculation (PBE) on a relaxed CeTmSe2 crystal.

Cell: 3.9525 3.9525 7.7125 Å, 75.15 75.15 60.00°
Each line ends with the local moment (μB).
Positions (direct):
Ce: 0.6708 0.6708 0.9875  0.97
Tm: 0.4960 0.4960 0.5121  -0.06
Se: 0.0875 0.0875 0.7376  -0.01
Se: 0.2457 0.2457 0.2629  -0.01

## Properties
space group	No. 160

y:
VASP calculation (PBE) on a relaxed CeTmSe2 crystal.

Cell: 3.9686 3.9686 7.3877 Å, 90.00 90.00 120.00°
Each line ends with the local moment (μB).
Positions (direct):
Ce: 0.0000 0.5000 0.5000  1.04
Tm: 0.0000 0.5000 0.0000  0.04
Se: 0.6667 0.8334 0.7704  -0.01
Se: 0.3333 0.1666 0.2296  -0.01

## Properties
space group	No. 164

Energy ordering: w at the bottom, the next structure 0.077 eV/atom above.

w:
VASP calculation (PBE) on a relaxed CeTm2Se crystal.

Cell: 3.6826 3.6826 9.8034 Å, 79.17 79.17 60.00°
Each line ends with the local moment (μB).
Positions (direct):
Ce: 0.4998 0.4998 0.5006  0.99
Tm: 0.0659 0.0659 0.8023  0.15
Tm: 0.2676 0.2676 0.1972  0.08
Se: 0.6667 0.6667 0.9999  0.00

## Properties
space group	No. 160

x:
VASP calculation (PBE) on a relaxed CeTm2Se crystal.

Cell: 3.5961 3.5961 10.5631 Å, 80.20 80.20 60.00°
Each line ends with the local moment (μB).
Positions (direct):
Tm: 0.1073 0.1073 0.6781  -0.02
Tm: 0.8927 0.8927 0.3219  -0.02
Se: 0.5000 0.5000 0.5000  0.00
Ce: 0.0000 0.0000 0.0000  0.82

## Properties
space group	No. 166

Energy ordering: w at the bottom, the next structure 0.232 eV/atom above.

w:
VASP calculation (PBE) on a relaxed CeU2Se6 crystal.

Cell: 5.2619 5.2619 11.1227 Å, 103.68 103.68 90.00°
Each line ends with the local moment (μB).
Positions (direct):
Ce: 0.5000 0.5000 0.0000  0.51
U: 0.1883 0.1883 0.3766  2.04
U: 0.8117 0.8117 0.6234  2.04
Se: 0.8581 0.3246 0.1827  -0.11
Se: 0.6754 0.6754 0.8173  -0.11
Se: 0.3246 0.8581 0.1827  -0.11
Se: 0.1419 0.1419 0.8173  -0.11
Se: 0.7500 0.2500 0.5000  -0.08
Se: 0.2500 0.7500 0.5000  -0.08

## Properties
space group	No. 121

x:
VASP calculation (PBE) on a relaxed CeU2Se6 crystal.

Cell: 4.2122 8.3573 9.3303 Å, 101.79 103.05 90.00°
Each line ends with the local moment (μB).
Positions (direct):
Ce: 0.5000 0.0000 0.0000  0.57
U: 0.8318 0.6688 0.6637  1.88
U: 0.1682 0.3312 0.3363  1.88
Se: 0.3350 0.8934 0.6699  -0.07
Se: 0.0123 0.2432 0.0247  -0.06
Se: 0.6732 0.5612 0.3465  -0.08
Se: 0.9877 0.7568 0.9753  -0.06
Se: 0.6650 0.1066 0.3301  -0.07
Se: 0.3268 0.4388 0.6535  -0.08

## Properties
space group	No. 12

Energy ordering: x at the bottom, the next structure 0.312 eV/atom above.

w:
VASP calculation (PBE) on a relaxed Ce2USe4 crystal.

Cell: 4.0660 7.2576 13.8500 Å, 90.00 90.00 106.27°
Each line ends with the local moment (μB).
Positions (direct):
Ce: 0.1340 0.2681 0.4312  1.00
Ce: 0.8660 0.7319 0.9312  1.00
Ce: 0.1340 0.2681 0.0688  1.00
Ce: 0.8660 0.7319 0.5688  1.00
U: 0.6222 0.2445 0.7500  2.79
U: 0.3778 0.7555 0.2500  2.79
Se: 0.7768 0.5537 0.1280  -0.04
Se: 0.7768 0.5537 0.3720  -0.04
Se: 0.2232 0.4463 0.8720  -0.04
Se: 0.2232 0.4463 0.6280  -0.04
Se: 0.9733 0.9466 0.7500  -0.05
Se: 0.0267 0.0534 0.2500  -0.05
Se: 0.5000 0.0000 0.0000  -0.03
Se: 0.5000 0.0000 0.5000  -0.03

## Properties
space group	No. 63

x:
VASP calculation (PBE) on a relaxed Ce2USe4 crystal.

Cell: 7.6406 7.6406 7.6406 Å, 109.39 109.39 109.63°
Each line ends with the local moment (μB).
Positions (direct):
Ce: 0.6250 0.7491 0.6241  1.12
Ce: 0.2509 0.8750 0.8759  1.12
Ce: 0.1250 0.0009 0.3759  1.12
Ce: 0.9991 0.3750 0.1241  1.12
U: 0.5000 0.5000 0.0000  2.86
U: 0.7500 0.2500 0.5000  2.86
Se: 0.2209 0.4708 0.6004  -0.04
Se: 0.3796 0.2792 0.2501  -0.04
Se: 0.0291 0.1295 0.7499  -0.04
Se: 0.7208 0.9709 0.1004  -0.04
Se: 0.3795 0.7791 0.2499  -0.04
Se: 0.8705 0.6204 0.8996  -0.04
Se: 0.5292 0.1296 0.7501  -0.04
Se: 0.8704 0.6205 0.3996  -0.04

## Properties
space group	No. 122

Energy ordering: x at the bottom, the next structure 0.092 eV/atom above.

w:
VASP calculation (PBE) on a relaxed Ce2U3Se8 crystal.

Cell: 6.9617 8.2605 8.4915 Å, 119.10 106.12 90.00°
Each line ends with the local moment (μB).
Positions (direct):
Ce: 0.3343 0.2585 0.5170  1.02
Ce: 0.6657 0.7415 0.4830  1.02
U: 0.5000 0.0000 0.0000  2.54
U: 0.0000 0.2555 0.0000  2.44
U: 0.0000 0.7445 0.0000  2.44
Se: 0.9201 0.6157 0.2313  -0.07
Se: 0.0799 0.3843 0.7687  -0.07
Se: 0.9165 0.1168 0.2336  -0.07
Se: 0.0835 0.8832 0.7664  -0.07
Se: 0.5880 0.6412 0.7573  -0.05
Se: 0.5880 0.1161 0.7573  -0.05
Se: 0.4120 0.8839 0.2427  -0.05
Se: 0.4120 0.3588 0.2427  -0.05

## Properties
space group	No. 12

x:
VASP calculation (PBE) on a relaxed Ce2U3Se8 crystal.

Cell: 4.9539 9.8628 8.6299 Å, 124.85 90.00 90.00°
Each line ends with the local moment (μB).
Positions (direct):
Ce: 0.5000 0.2638 0.5276  0.94
Ce: 0.5000 0.7362 0.4724  0.94
U: 0.5000 0.0000 0.0000  2.58
U: 0.0000 0.2670 0.0000  2.48
U: 0.0000 0.7330 0.0000  2.48
Se: 0.0000 0.6243 0.2487  -0.05
Se: 0.0000 0.3757 0.7513  -0.05
Se: 0.0000 0.1158 0.2316  -0.09
Se: 0.0000 0.8842 0.7684  -0.09
Se: 0.5000 0.6394 0.7591  -0.07
Se: 0.5000 0.1197 0.7590  -0.07
Se: 0.5000 0.8803 0.2410  -0.07
Se: 0.5000 0.3606 0.2409  -0.07

## Properties
space group	No. 65

Energy ordering: x at the bottom, the next structure 0.017 eV/atom above.